(1)
VASP calculation (PBE) on a geometry-optimized CrSb2P structure.

a b c (Å): 4.2050 4.2050 6.7461
angles (deg): 82.49 82.49 45.82
Fractional coordinates of all 4 atoms:
Cr 0.5006 0.5006 0.4052
Sb 0.7776 0.7776 0.6689
Sb 0.0095 0.0095 0.0764
P 0.2123 0.2123 0.3495

Values from the calculation:
Electronic total energy   -5.752 eV/atom
Crystal system   monoclinic



(2)
VASP calculation (PBE) on a geometry-optimized LaIn2Te3 structure.

a b c (Å): 4.4910 9.0547 12.9227
angles (deg): 92.72 90.00 90.00
Fractional coordinates of all 12 atoms:
La 0.2500 0.6595 0.3686
La 0.7500 0.3405 0.6314
Te 0.7500 0.5682 0.8373
Te 0.7500 0.8561 0.2506
Te 0.2500 0.1439 0.7494
Te 0.2500 0.3220 0.4458
Te 0.2500 0.4318 0.1627
Te 0.7500 0.6780 0.5542
In 0.7500 0.0632 0.4307
In 0.2500 0.3829 0.9179
In 0.2500 0.9368 0.5693
In 0.7500 0.6171 0.0821

Values from the calculation:
Electronic total energy   -3.959 eV/atom
Crystal system   monoclinic



(3)
VASP calculation (PBE) on a geometry-optimized Sr2TlSb structure.

a b c (Å): 8.2707 8.2707 8.2707
angles (deg): 34.57 34.57 34.57
Fractional coordinates of all 4 atoms:
Tl 0.2500 0.2500 0.2500
Sr 0.0131 0.0131 0.0131
Sr 0.4869 0.4869 0.4869
Sb 0.7500 0.7500 0.7500

Values from the calculation:
Energy relative to the lowest polymorph listed for this composition   0.152 eV/atom
Crystal system   trigonal



(4)
VASP calculation (PBE) on a geometry-optimized Fe3Cu4Pd12 structure.

a b c (Å): 7.9772 7.9772 7.9772
angles (deg): 109.47 109.47 109.47
Site moments in Bohr magnetons follow the coordinates.
Fractional coordinates of all 19 atoms:
Pd 0.3864 0.7404 0.6460  0.24
Pd 0.7404 0.3540 0.0944  0.24
Pd 0.6136 0.2596 0.3540  0.24
Pd 0.0943 0.7404 0.3540  0.24
Pd 0.2596 0.3540 0.6136  0.24
Pd 0.2596 0.6460 0.9056  0.24
Pd 0.3540 0.0943 0.7404  0.24
Pd 0.6460 0.9056 0.2596  0.24
Pd 0.3540 0.6136 0.2596  0.24
Pd 0.9056 0.2596 0.6460  0.24
Pd 0.6460 0.3864 0.7404  0.24
Pd 0.7404 0.6460 0.3864  0.24
Fe 0.5000 0.0000 0.5000  3.42
Fe 0.0000 0.5000 0.5000  3.42
Fe 0.5000 0.5000 0.0000  3.42
Cu 0.0000 0.0000 0.5000  0.08
Cu 0.0000 0.5000 0.0000  0.08
Cu 0.5000 0.0000 0.0000  0.08
Cu 0.5000 0.5000 0.5000  0.08

Values from the calculation:
E_form   0.39 eV/atom
Crystal system   cubic



(5)
VASP calculation (PBE) on a geometry-optimized YHf2SnH structure.

a b c (Å): 4.4948 4.4948 4.6887
angles (deg): 90.00 90.00 90.00
Fractional coordinates of all 5 atoms:
Sn 0.5000 0.5000 0.5000
Hf 0.5000 0.0000 0.0000
Hf 0.0000 0.5000 0.0000
H 0.0000 0.0000 0.0000
Y 0.0000 0.0000 0.5000

Values from the calculation:
Electronic total energy   -7.058 eV/atom
Crystal system   tetragonal



(6)
VASP calculation (PBE) on a geometry-optimized HfFe2ICl structure.

a b c (Å): 4.3114 4.9117 4.3114
angles (deg): 90.00 90.00 90.00
Site moments in Bohr magnetons follow the coordinates.
Fractional coordinates of all 5 atoms:
Fe 0.5000 0.0000 0.0000  2.36
Fe 0.0000 0.0000 0.5000  1.89
I 0.5000 0.5000 0.5000  0.07
Cl 0.0000 0.0000 0.0000  0.01
Hf 0.0000 0.5000 0.0000  -0.27

Values from the calculation:
Electronic total energy   -5.290 eV/atom
Crystal system   tetragonal



(7)
VASP calculation (PBE) on a geometry-optimized Be2Cr2Ni structure.

a b c (Å): 5.5342 5.5342 3.2363
angles (deg): 90.00 90.00 90.00
Fractional coordinates of all 10 atoms:
Cr 0.8366 0.3366 0.5000
Cr 0.3366 0.1634 0.5000
Cr 0.1634 0.6634 0.5000
Cr 0.6634 0.8366 0.5000
Be 0.8670 0.6330 0.0000
Be 0.6330 0.1330 0.0000
Be 0.1330 0.3670 0.0000
Be 0.3670 0.8670 0.0000
Ni 0.5000 0.5000 0.0000
Ni 0.0000 0.0000 0.0000

Values from the calculation:
E_form   0.03 eV/atom
Crystal system   tetragonal



(8)
VASP calculation (PBE) on a geometry-optimized KRb2NaAs structure.

a b c (Å): 6.9777 6.9777 5.7030
angles (deg): 90.00 90.00 90.00
Fractional coordinates of all 5 atoms:
K 0.5000 0.5000 0.5000
As 0.0000 0.0000 0.0000
Rb 0.5000 0.0000 0.0000
Rb 0.0000 0.5000 0.0000
Na 0.0000 0.0000 0.5000

Values from the calculation:
E_form   -0.12 eV/atom
Energy relative to the lowest polymorph listed for this composition   0.000 eV/atom
Crystal system   tetragonal



(9)
VASP calculation (PBE) on a geometry-optimized Mg2ZrTl structure.

a b c (Å): 5.8496 5.8496 5.8496
angles (deg): 136.83 136.83 62.69
Site moments in Bohr magnetons follow the coordinates.
Fractional coordinates of all 4 atoms:
Mg 0.5000 0.5000 0.0000  0.01
Mg 0.0000 0.0000 0.0000  0.01
Zr 0.7500 0.2500 0.5000  0.20
Tl 0.2500 0.7500 0.5000  0.00

Values from the calculation:
E_form   0.05 eV/atom
Energy relative to the lowest polymorph listed for this composition   0.161 eV/atom
Crystal system   tetragonal



(10)
VASP calculation (PBE) on a geometry-optimized CaSn4Pd12 structure.

a b c (Å): 7.7270 7.7270 7.7270
angles (deg): 109.47 109.47 109.47
Fractional coordinates of all 17 atoms:
Pd 0.2016 0.8491 0.3525
Pd 0.1509 0.6475 0.7984
Pd 0.3525 0.2016 0.8491
Pd 0.6475 0.7984 0.1509
Pd 0.6475 0.4966 0.8491
Pd 0.4966 0.8491 0.6475
Pd 0.1509 0.3525 0.5034
Pd 0.7984 0.1509 0.6475
Pd 0.3525 0.5034 0.1509
Pd 0.8491 0.6475 0.4966
Pd 0.8491 0.3525 0.2016
Pd 0.5034 0.1509 0.3525
Sn 0.0000 0.5000 0.0000
Sn 0.0000 0.0000 0.5000
Sn 0.5000 0.5000 0.5000
Sn 0.5000 0.0000 0.0000
Ca 0.0000 0.0000 0.0000

Values from the calculation:
E_form   -0.12 eV/atom
Crystal system   cubic



(11)
VASP calculation (PBE) on a geometry-optimized Pm2Sm8Er structure.

a b c (Å): 5.1197 8.1012 9.5706
angles (deg): 104.72 105.51 90.00
Fractional coordinates of all 11 atoms:
Sm 0.5903 0.4523 0.1805
Sm 0.6812 0.9092 0.3624
Sm 0.4097 0.5477 0.8195
Sm 0.3188 0.0908 0.6376
Sm 0.9549 0.2715 0.9097
Sm 0.8643 0.8199 0.7286
Sm 0.0451 0.7285 0.0903
Sm 0.1357 0.1801 0.2714
Pm 0.7733 0.3636 0.5465
Pm 0.2267 0.6364 0.4535
Er 0.5000 0.0000 0.0000

Values from the calculation:
E_form   0.02 eV/atom
Energy relative to the lowest polymorph listed for this composition   0.000 eV/atom
Crystal system   monoclinic



(12)
VASP calculation (PBE) on a geometry-optimized SiHgTe2I structure.

a b c (Å): 5.3563 5.3563 5.5731
angles (deg): 90.00 90.00 90.00
Fractional coordinates of all 5 atoms:
Hg 0.5000 0.5000 0.5000
Te 0.5000 0.0000 0.0000
Te 0.0000 0.5000 0.0000
Si 0.0000 0.0000 0.0000
I 0.0000 0.0000 0.5000

Values from the calculation:
Energy relative to the lowest polymorph listed for this composition   0.000 eV/atom
Crystal system   tetragonal



M_tot per entry: 0.00 0.00 0.00 13.58 0.00 3.81 0.00 0.00 0.43 0.00 0.00 0.00 μB/f.u.
Calculated volume per entry: 21.17 43.74 40.64 20.57 18.95 18.26 9.91 55.53 23.13 20.89 33.54 31.98 Å³ per atom